Record 1
The following is a DFT calculation (PBE) of an optimized crystal structure of Mo2PBr.

ΔE to the lowest computed polymorph   20.5 meV/atom
Crystal system   trigonal
Formation energy (no corrections)   0.2 eV/f.u.
VASP energy   -7.12 eV per atom

a = 3.544 Å, b = 3.544 Å, c = 20.289 Å
α = 90.00°, β = 90.00°, γ = 120.00°
Positions (direct):
Mo  0.000  0.000  0.222
Mo  0.000  0.000  0.778
Mo  0.333  0.667  0.444
Mo  0.333  0.667  0.889
Mo  0.667  0.333  0.111
Mo  0.667  0.333  0.556
P  0.000  0.000  0.500
P  0.333  0.667  0.167
P  0.667  0.333  0.833
Br  0.000  0.000  0.000
Br  0.333  0.667  0.667
Br  0.667  0.333  0.333


Record 2
The following is a DFT calculation (PBE) of an optimized crystal structure of Cd3SiTe.

ΔE to the lowest computed polymorph   0.0 meV/atom
Crystal system   cubic
Formation energy (no corrections)   1.0 eV/f.u.
VASP energy   -2.07 eV per atom

a = 5.148 Å, b = 5.148 Å, c = 5.148 Å
α = 90.00°, β = 90.00°, γ = 90.00°
Positions (direct):
Cd  0.000  0.000  0.500
Cd  0.000  0.500  0.000
Cd  0.500  0.000  0.000
Si  0.000  0.000  0.000
Te  0.500  0.500  0.500


- ΔE to the lowest computed polymorph of number 2 (Cd3SiTe)?
  0.0 meV/atom